First-principles (PBE-GGA) data for crystalline Tb4SnSb3 at its relaxed geometry, as listed in Alexandria.

The structure belongs to space group Pm-3m (No. 221); the cell edges are 6.229, 6.229 and 6.229 Å and the angles 90.00°, 90.00° and 90.00°. Symmetry generates all atoms from Tb at (0.000, 0.000, 0.000), Tb at (0.000, 0.500, 0.500), Sn at (0.500, 0.500, 0.500) and Sb at (0.000, 0.000, 0.500).

Its density of states at the Fermi level is 4.63 states/eV per cell. The value obtained for the formation energy without anion corrections is -0.9850 eV/atom. The uncorrected energy comes out at -5.3464 eV/atom. Its volume is 30.2 Å³/atom.